A geometry-optimized Ti3GeF structure, computed with PBE.

Summary:
**SG**: Pm-3m (221)
**Calculated total energy**: -6.69 eV/atom
**Formation energy (no corrections)**: -3.30 eV/f.u.
**Excess energy over the best structure of this formula in the dataset**: 0.000 eV per atom

extended XYZ file:
```
5
Lattice="4.167 0.000 0.000 0.000 4.167 0.000 0.000 0.000 4.167" Properties=species:S:1:pos:R:3 pbc="T T T"
Ti 0.000 0.000 2.084
Ge 2.084 2.084 2.084
Ti 2.084 0.000 0.000
F 0.000 0.000 0.000
Ti 0.000 2.084 0.000
```

***

A geometry-optimized TiGeF3 structure, computed with PBE.

Summary:
**SG**: Pm-3m (221)
**Calculated total energy**: -5.52 eV/atom
**Formation energy (no corrections)**: -9.46 eV/f.u.
**Excess energy over the best structure of this formula in the dataset**: 0.000 eV per atom

extended XYZ file:
```
5
Lattice="4.156 0.000 0.000 0.000 4.156 0.000 0.000 0.000 4.156" Properties=species:S:1:pos:R:3 pbc="T T T"
Ti 0.000 0.000 0.000
F 0.000 2.078 0.000
F 2.078 0.000 0.000
F 0.000 0.000 2.078
Ge 2.078 2.078 2.078
```

***

| no. | DOS at the Fermi energy (states/eV/f.u.) |
| --- | --- |
| 1 | 5.9 |
| 2 | 6.0 |